No. 1
Material: ZrRe3Ru
Method: DFT, PBE
State: optimized geometry

- Calculated formation energy: 1.57 eV per atom
- Relative energy among the computed polymorphs: 0.0000 eV per atom
- Space-group type: No. 221

Cell and atoms, written as POSCAR:
```
ZrRe3Ru
1.0
4.6508 0.0000 0.0000
0.0000 4.6508 0.0000
0.0000 0.0000 4.6508
Zr Re Ru
1 3 1
Direct
0.0000 0.0000 0.0000
0.0000 0.5000 0.5000
0.5000 0.0000 0.5000
0.5000 0.5000 0.0000
0.5000 0.5000 0.5000
```

---

No. 2
Material: Zr2ReRu
Method: DFT, PBE
State: optimized geometry

- Calculated formation energy: 0.32 eV per atom
- Space-group type: No. 122

Cell and atoms, written as POSCAR:
```
Zr2ReRu
1.0
-3.6500 3.6500 2.8414
3.6500 -3.6500 2.8414
3.6500 3.6500 -2.8414
Zr Re Ru
4 2 2
Direct
0.1157 0.1250 0.4907
0.3750 0.8843 0.0093
0.6343 0.6250 0.5093
0.8750 0.3657 0.9907
0.2500 0.7500 0.5000
0.5000 0.5000 0.0000
0.0000 0.0000 0.0000
0.7500 0.2500 0.5000
```

---

No. 3
Material: Zr2ReRu
Method: DFT, PBE
State: optimized geometry

- Calculated formation energy: -0.08 eV per atom
- Space-group type: No. 47

Cell and atoms, written as POSCAR:
```
Zr2ReRu
1.0
3.3092 0.0000 0.0000
0.0000 4.3699 0.0000
0.0000 0.0000 4.9260
Zr Re Ru
2 1 1
Direct
0.0000 0.0000 0.0000
0.5000 0.0000 0.5000
0.0000 0.5000 0.5000
0.5000 0.5000 0.0000
```

---

No. 4
Material: Zr2ReRu
Method: DFT, PBE
State: optimized geometry

- Calculated formation energy: -0.04 eV per atom
- Space-group type: No. 99

Cell and atoms, written as POSCAR:
```
Zr2ReRu
1.0
2.9338 0.0000 0.0000
0.0000 2.9338 0.0000
0.0000 0.0000 8.6635
Zr Re Ru
2 1 1
Direct
0.0000 0.0000 0.0000
0.5000 0.5000 0.3234
0.0000 0.0000 0.5738
0.5000 0.5000 0.7573
```

---

No. 5
Material: ZrRe4Ru
Method: DFT, PBE
State: optimized geometry

- Calculated formation energy: 0.06 eV per atom
- Space-group type: No. 216

Cell and atoms, written as POSCAR:
```
ZrRe4Ru
1.0
0.0000 3.6799 3.6799
3.6799 0.0000 3.6799
3.6799 3.6799 0.0000
Zr Re Ru
1 4 1
Direct
0.0000 0.0000 0.0000
0.1234 0.6255 0.6255
0.6255 0.1234 0.6255
0.6255 0.6255 0.1234
0.6255 0.6255 0.6255
0.2500 0.2500 0.2500
```

---

No. 6
Material: Zr4ReRu3
Method: DFT, PBE
State: optimized geometry

- Calculated formation energy: -0.56 eV per atom
- Space-group type: No. 123

Cell and atoms, written as POSCAR:
```
Zr4ReRu3
1.0
3.2818 0.0000 0.0000
0.0000 3.2818 0.0000
0.0000 0.0000 13.1763
Zr Re Ru
4 1 3
Direct
0.0000 0.0000 0.1244
0.0000 0.0000 0.3747
0.0000 0.0000 0.6253
0.0000 0.0000 0.8756
0.5000 0.5000 0.0000
0.5000 0.5000 0.2541
0.5000 0.5000 0.5000
0.5000 0.5000 0.7459
```

---

No. 7
Material: Zr2ReRu
Method: DFT, PBE
State: optimized geometry

- Calculated formation energy: -0.10 eV per atom
- Space-group type: No. 65

Cell and atoms, written as POSCAR:
```
Zr2ReRu
1.0
1.6721 -2.4609 0.0000
1.6721 2.4609 0.0000
0.0000 0.0000 8.6682
Zr Re Ru
2 1 1
Direct
0.0000 0.0000 0.2456
0.0000 0.0000 0.7544
0.5000 0.5000 0.5000
0.5000 0.5000 0.0000
```

---

No. 8
Material: Zr2ReRu
Method: DFT, PBE
State: optimized geometry

- Calculated formation energy: -0.11 eV per atom
- Space-group type: No. 6

Cell and atoms, written as POSCAR:
```
Zr2ReRu
1.0
2.9777 0.0000 0.0000
0.0000 4.6334 0.0000
-1.1085 0.0000 5.1810
Zr Re Ru
2 1 1
Direct
0.0000 0.0000 0.0000
0.2779 0.5000 0.7227
0.7560 0.5000 0.2272
0.5226 0.0000 0.4916
```

---

No. 9
Material: Zr2ReRu
Method: DFT, PBE
State: optimized geometry

- Calculated formation energy: -0.09 eV per atom
- Space-group type: No. 71

Cell and atoms, written as POSCAR:
```
Zr2ReRu
1.0
-1.6610 2.4649 4.3537
1.6610 -2.4649 4.3537
1.6610 2.4649 -4.3537
Zr Re Ru
2 1 1
Direct
0.2459 0.2459 0.0000
0.7541 0.7541 0.0000
0.5000 0.0000 0.5000
0.0000 0.5000 0.5000
```

---

No. 10
Material: Zr4ReRu
Method: DFT, PBE
State: optimized geometry

- Calculated formation energy: -0.06 eV per atom
- Relative energy among the computed polymorphs: 0.2075 eV per atom
- Space-group type: No. 166

Cell and atoms, written as POSCAR:
```
Zr4ReRu
1.0
2.2883 1.3211 7.3966
-2.2883 1.3211 7.3966
0.0000 -2.6423 7.3966
Zr Re Ru
4 1 1
Direct
0.1249 0.1249 0.1249
0.3750 0.3750 0.3750
0.6250 0.6250 0.6250
0.8751 0.8751 0.8751
0.0000 0.0000 0.0000
0.5000 0.5000 0.5000
```

---

No. 11
Material: ZrRe2Ru2
Method: DFT, PBE
State: optimized geometry

- Calculated formation energy: -0.03 eV per atom
- Space-group type: No. 127

Cell and atoms, written as POSCAR:
```
ZrRe2Ru2
1.0
7.6311 0.0000 0.0000
0.0000 7.6311 0.0000
0.0000 0.0000 2.7833
Zr Re Ru
2 4 4
Direct
0.0000 0.0000 0.0000
0.5000 0.5000 0.0000
0.1209 0.3791 0.0000
0.3791 0.8791 0.0000
0.6209 0.1209 0.0000
0.8791 0.6209 0.0000
0.1724 0.6724 0.5000
0.3276 0.1724 0.5000
0.6724 0.8276 0.5000
0.8276 0.3276 0.5000
```

---

No. 12
Material: Zr2ReRu
Method: DFT, PBE
State: optimized geometry

- Calculated formation energy: 0.22 eV per atom
- Space-group type: No. 160

Cell and atoms, written as POSCAR:
```
Zr2ReRu
1.0
1.4904 0.8605 9.5273
-1.4904 0.8605 9.5273
0.0000 -1.7210 9.5273
Zr Re Ru
2 1 1
Direct
0.0000 0.0000 0.0000
0.2386 0.2386 0.2386
0.7529 0.7529 0.7529
0.4884 0.4884 0.4884
```

---

No. 13
Material: Zr2ReRu
Method: DFT, PBE
State: optimized geometry

- Calculated formation energy: -0.09 eV per atom
- Space-group type: No. 10

Cell and atoms, written as POSCAR:
```
Zr2ReRu
1.0
2.9589 0.0000 0.0000
0.0000 4.3564 0.0000
-0.7620 0.0000 5.5314
Zr Re Ru
2 1 1
Direct
0.2499 0.0000 0.2498
0.7501 0.0000 0.7502
0.0000 0.5000 0.5000
0.5000 0.5000 0.0000
```

---

No. 14
Material: ZrReRu4
Method: DFT, PBE
State: optimized geometry

- Calculated formation energy: 0.12 eV per atom
- Space-group type: No. 216

Cell and atoms, written as POSCAR:
```
ZrReRu4
1.0
0.0000 3.6123 3.6123
3.6123 0.0000 3.6123
3.6123 3.6123 0.0000
Zr Re Ru
1 1 4
Direct
0.0000 0.0000 0.0000
0.7500 0.7500 0.7500
0.3754 0.3754 0.3754
0.3754 0.3754 0.8739
0.3754 0.8739 0.3754
0.8739 0.3754 0.3754
```

---

No. 15
Material: Zr2ReRu
Method: DFT, PBE
State: optimized geometry

- Calculated formation energy: -0.09 eV per atom
- Space-group type: No. 216

Cell and atoms, written as POSCAR:
```
Zr2ReRu
1.0
0.0000 3.2657 3.2657
3.2657 0.0000 3.2657
3.2657 3.2657 0.0000
Zr Re Ru
2 1 1
Direct
0.0000 0.0000 0.0000
0.2500 0.2500 0.2500
0.5000 0.5000 0.5000
0.7500 0.7500 0.7500
```

---

No. 16
Material: Zr2ReRu
Method: DFT, PBE
State: optimized geometry

- Calculated formation energy: -0.10 eV per atom
- Space-group type: No. 12

Cell and atoms, written as POSCAR:
```
Zr2ReRu
1.0
2.9761 -4.3656 0.0000
2.9761 4.3656 0.0000
-1.0938 0.0000 2.7415
Zr Re Ru
2 1 1
Direct
0.0000 0.5000 0.0000
0.5000 0.0000 0.0000
0.0000 0.0000 0.5000
0.5000 0.5000 0.5000
```

---

No. 17
Material: ReS3
Method: DFT, PBE
State: optimized geometry

- Space-group type: No. 44
- Formation energy without anion corrections: -98 meV per atom

Cell and atoms, written as POSCAR:
```
ReS3
1.0
-1.4270 5.4365 3.2182
1.4270 -5.4365 3.2182
1.4270 5.4365 -3.2182
Re S
1 3
Direct
0.0000 0.0000 0.0000
0.2933 0.6444 0.6489
0.7102 0.2102 0.5000
0.9955 0.6444 0.3511
```

---

No. 18
Material: Re3SbS
Method: DFT, PBE
State: optimized geometry

- Relative energy among the computed polymorphs: 0.0000 eV per atom
- Space-group type: No. 221
- Formation energy without anion corrections: 1124 meV per atom

Cell and atoms, written as POSCAR:
```
Re3SbS
1.0
4.4449 0.0000 0.0000
0.0000 4.4449 0.0000
0.0000 0.0000 4.4449
Re Sb S
3 1 1
Direct
0.0000 0.0000 0.5000
0.0000 0.5000 0.0000
0.5000 0.0000 0.0000
0.5000 0.5000 0.5000
0.0000 0.0000 0.0000
```

---

No. 19
Material: ReSbS3
Method: DFT, PBE
State: optimized geometry

- Relative energy among the computed polymorphs: 0.0000 eV per atom
- Space-group type: No. 221
- Formation energy without anion corrections: 345 meV per atom

Cell and atoms, written as POSCAR:
```
ReSbS3
1.0
4.6537 0.0000 0.0000
0.0000 4.6537 0.0000
0.0000 0.0000 4.6537
Re Sb S
1 1 3
Direct
0.0000 0.0000 0.0000
0.5000 0.5000 0.5000
0.0000 0.0000 0.5000
0.0000 0.5000 0.0000
0.5000 0.0000 0.0000
```

---

No. 20
Material: Re3SbS
Method: DFT, PBE
State: optimized geometry

- Relative energy among the computed polymorphs: 1.8723 eV per atom
- Space-group type: No. 221
- Formation energy without anion corrections: 2997 meV per atom

Cell and atoms, written as POSCAR:
```
Re3SbS
1.0
4.8794 0.0000 0.0000
0.0000 4.8794 0.0000
0.0000 0.0000 4.8794
Re Sb S
3 1 1
Direct
0.0000 0.0000 0.5000
0.0000 0.5000 0.0000
0.5000 0.0000 0.0000
0.0000 0.0000 0.0000
0.5000 0.5000 0.5000
```